Computed, not measured: a relaxed ZrFeI2O crystal at the GGA+U level of DFT.

Computed properties:
- calculated total energy (eV per cell) = -23.557
- M_tot (μB per formula unit) = 5.16

Cell and atoms, written as POSCAR:
```
ZrFeI2O
1.0
5.663 0.000 0.000
0.000 5.663 0.000
0.000 0.000 3.662
Zr Fe I O
1 1 2 1
Direct
0.000 0.000 0.000 Zr
0.500 0.500 0.500 Fe
0.000 0.500 0.500 I
0.500 0.000 0.500 I
0.500 0.500 0.000 O
```